Computed, not measured: an optimized crystal structure of Sc4HS5 at the PBE level of DFT.

Computed properties:
* final energy: -6.477 eV per atom
* theoretical density: 2.4 g cm⁻³

Cell lengths 13.7827, 3.7212, 9.5125 Å; angles 90.00, 107.80, 90.00 degrees
Last column: nearest neighbours and their distance in Å.
Space group C2/m (No. 12)
One atom of each set of equivalent atoms:
Sc 0.0058 0.0000 0.3245  4 S 2.42-2.52
Sc 0.1518 0.5000 0.0781  1 H 1.99
H 0.0000 0.5000 0.0000  2 Sc 1.99
S 0.0000 0.5000 0.5000  4 Sc 2.52
S 0.1511 0.0000 0.8849  4 Sc 2.45-2.63
S 0.1633 0.0000 0.2628  3 Sc 2.42-2.53